# 1
The following is a DFT calculation (GGA-PBE) of a relaxed CuNi2OsSe crystal.

Summary:
SG ... P4/mmm (123)
ρ ... 8866 kg/m³
E_form (uncorrected) ... 1410 meV/atom

Cell and atoms, written as CIF:
```
data_CuNi2OsSe
_chemical_formula_sum 'Cu1 Ni2 Os1 Se1'
_cell_length_a 4.291
_cell_length_b 4.291
_cell_length_c 4.579
_cell_angle_alpha 90.00
_cell_angle_beta 90.00
_cell_angle_gamma 90.00
_symmetry_space_group_name_H-M 'P 1'
_symmetry_Int_Tables_number 1
loop_
_symmetry_equiv_pos_as_xyz
'x,y,z'
loop_
_atom_site_label
_atom_site_type_symbol
_atom_site_fract_x
_atom_site_fract_y
_atom_site_fract_z
Cu1 Cu 0.000 0.000 0.000
Ni1 Ni 0.000 0.500 0.000
Ni2 Ni 0.500 0.000 0.000
Os1 Os 0.000 0.000 0.500
Se1 Se 0.500 0.500 0.500
```


# 2
The following is a DFT calculation (GGA-PBE) of a relaxed Li5TlAg2Pb2 crystal.

Summary:
SG ... P4/mbm (127)
Energy of formation from the pure elements ... -1.7 eV/f.u.
ρ ... 7054 kg/m³

Cell and atoms, written as CIF:
```
data_Li5TlAg2Pb2
_chemical_formula_sum 'Li10 Tl2 Ag4 Pb4'
_cell_length_a 10.466
_cell_length_b 10.466
_cell_length_c 3.736
_cell_angle_alpha 90.00
_cell_angle_beta 90.00
_cell_angle_gamma 90.00
_symmetry_space_group_name_H-M 'P 1'
_symmetry_Int_Tables_number 1
loop_
_symmetry_equiv_pos_as_xyz
'x,y,z'
loop_
_atom_site_label
_atom_site_type_symbol
_atom_site_fract_x
_atom_site_fract_y
_atom_site_fract_z
Li1 Li 0.000 0.500 0.000
Li2 Li 0.065 0.203 0.000
Li3 Li 0.203 0.935 0.000
Li4 Li 0.297 0.435 0.000
Li5 Li 0.435 0.703 0.000
Li6 Li 0.500 0.000 0.000
Li7 Li 0.565 0.297 0.000
Li8 Li 0.703 0.565 0.000
Li9 Li 0.797 0.065 0.000
Li10 Li 0.935 0.797 0.000
Tl1 Tl 0.000 0.000 0.500
Tl2 Tl 0.500 0.500 0.500
Ag1 Ag 0.126 0.374 0.500
Ag2 Ag 0.374 0.874 0.500
Ag3 Ag 0.626 0.126 0.500
Ag4 Ag 0.874 0.626 0.500
Pb1 Pb 0.172 0.672 0.500
Pb2 Pb 0.328 0.172 0.500
Pb3 Pb 0.672 0.828 0.500
Pb4 Pb 0.828 0.328 0.500
```


# 3
The following is a DFT calculation (GGA-PBE) of a relaxed BeOs2Br crystal.

Summary:
SG ... C2/m (12)
ρ ... 13454 kg/m³
E_form (uncorrected) ... 848 meV/atom

Cell and atoms, written as CIF:
```
data_BeOs2Br
_chemical_formula_sum 'Be2 Os4 Br2'
_cell_length_a 8.237
_cell_length_b 2.869
_cell_length_c 5.054
_cell_angle_alpha 90.00
_cell_angle_beta 104.02
_cell_angle_gamma 90.00
_symmetry_space_group_name_H-M 'P 1'
_symmetry_Int_Tables_number 1
loop_
_symmetry_equiv_pos_as_xyz
'x,y,z'
loop_
_atom_site_label
_atom_site_type_symbol
_atom_site_fract_x
_atom_site_fract_y
_atom_site_fract_z
Be1 Be 0.000 0.000 0.000
Be2 Be 0.500 0.500 0.000
Os1 Os 0.233 0.500 0.206
Os2 Os 0.267 0.000 0.794
Os3 Os 0.733 0.000 0.206
Os4 Os 0.767 0.500 0.794
Br1 Br 0.000 0.500 0.500
Br2 Br 0.500 0.000 0.500
```


# 4
The following is a DFT calculation (GGA-PBE) of a relaxed SrMnSn2Cl8 crystal.

Summary:
SG ... P-1 (2)
ρ ... 3049 kg/m³
E_form (uncorrected) ... -1362 meV/atom

Cell and atoms, written as CIF:
```
data_SrMnSn2Cl8
_chemical_formula_sum 'Sr1 Mn1 Sn2 Cl8'
_cell_length_a 6.412
_cell_length_b 6.659
_cell_length_c 8.465
_cell_angle_alpha 90.51
_cell_angle_beta 90.06
_cell_angle_gamma 90.90
_symmetry_space_group_name_H-M 'P 1'
_symmetry_Int_Tables_number 1
loop_
_symmetry_equiv_pos_as_xyz
'x,y,z'
loop_
_atom_site_label
_atom_site_type_symbol
_atom_site_fract_x
_atom_site_fract_y
_atom_site_fract_z
Sr1 Sr 0.000 0.000 0.000
Mn1 Mn 0.000 0.000 0.500
Sn1 Sn 0.491 0.513 0.265
Sn2 Sn 0.509 0.487 0.735
Cl1 Cl 0.201 0.176 0.280
Cl2 Cl 0.230 0.146 0.723
Cl3 Cl 0.246 0.698 0.479
Cl4 Cl 0.276 0.660 0.017
Cl5 Cl 0.724 0.340 0.983
Cl6 Cl 0.754 0.302 0.521
Cl7 Cl 0.770 0.854 0.277
Cl8 Cl 0.799 0.824 0.720
```


# 5
The following is a DFT calculation (GGA-PBE) of a relaxed Be2Nb2Al crystal.

Summary:
SG ... Cmmm (65)
Energy of formation from the pure elements ... -1.3 eV/f.u.
ρ ... 5604 kg/m³

Cell and atoms, written as CIF:
```
data_Be2Nb2Al
_chemical_formula_sum 'Be4 Nb4 Al2'
_cell_length_a 3.399
_cell_length_b 11.694
_cell_length_c 3.441
_cell_angle_alpha 90.00
_cell_angle_beta 90.00
_cell_angle_gamma 90.00
_symmetry_space_group_name_H-M 'P 1'
_symmetry_Int_Tables_number 1
loop_
_symmetry_equiv_pos_as_xyz
'x,y,z'
loop_
_atom_site_label
_atom_site_type_symbol
_atom_site_fract_x
_atom_site_fract_y
_atom_site_fract_z
Be1 Be 0.000 0.202 0.000
Be2 Be 0.000 0.798 0.000
Be3 Be 0.500 0.298 0.000
Be4 Be 0.500 0.702 0.000
Nb1 Nb 0.000 0.364 0.500
Nb2 Nb 0.000 0.636 0.500
Nb3 Nb 0.500 0.136 0.500
Nb4 Nb 0.500 0.864 0.500
Al1 Al 0.000 0.000 0.000
Al2 Al 0.500 0.500 0.000
```


# 6
The following is a DFT calculation (GGA-PBE) of a relaxed ScTi2Rh2 crystal.

Summary:
SG ... P4/mbm (127)
Energy of formation from the pure elements ... -3.0 eV/f.u.
ρ ... 6843 kg/m³

Cell and atoms, written as CIF:
```
data_ScTi2Rh2
_chemical_formula_sum 'Sc2 Ti4 Rh4'
_cell_length_a 7.490
_cell_length_b 7.490
_cell_length_c 2.998
_cell_angle_alpha 90.00
_cell_angle_beta 90.00
_cell_angle_gamma 90.00
_symmetry_space_group_name_H-M 'P 1'
_symmetry_Int_Tables_number 1
loop_
_symmetry_equiv_pos_as_xyz
'x,y,z'
loop_
_atom_site_label
_atom_site_type_symbol
_atom_site_fract_x
_atom_site_fract_y
_atom_site_fract_z
Sc1 Sc 0.000 0.000 0.000
Sc2 Sc 0.500 0.500 0.000
Ti1 Ti 0.156 0.344 0.500
Ti2 Ti 0.344 0.844 0.500
Ti3 Ti 0.656 0.156 0.500
Ti4 Ti 0.844 0.656 0.500
Rh1 Rh 0.139 0.639 0.000
Rh2 Rh 0.361 0.139 0.000
Rh3 Rh 0.639 0.861 0.000
Rh4 Rh 0.861 0.361 0.000
```


Q: Which of these has the lowest ρ?
A: SrMnSn2Cl8